Crystalline MgH2Rh2 at its relaxed geometry. Source: Alexandria via LeMat-Bulk, functional PBEsol.

```
data_MgH2Rh2
_chemical_formula_sum 'Mg2 H4 Rh4'
_space_group_name_H-M_alt 'I 4/m m m'
_space_group_IT_number 139
_space_group_name_Hall '-I 4 2'
_cell_length_a 3.097
_cell_length_b 3.097
_cell_length_c 10.283
_cell_angle_alpha 90.00
_cell_angle_beta 90.00
_cell_angle_gamma 90.00
loop_
_atom_site_label
_atom_site_type_symbol
_atom_site_fract_x
_atom_site_fract_y
_atom_site_fract_z
Mg1 Mg 0.000 0.000 0.000
H1 H 0.000 0.500 0.250
Rh1 Rh 0.000 0.000 0.348
```

---

Crystalline Cr2CdPRh at its relaxed geometry. Source: Alexandria via LeMat-Bulk, functional PBEsol.

```
data_Cr2CdPRh
_chemical_formula_sum 'Cr2 Cd1 P1 Rh1'
_space_group_name_H-M_alt 'P 4/m m m'
_space_group_IT_number 123
_space_group_name_Hall '-P 4 2'
_cell_length_a 4.898
_cell_length_b 4.898
_cell_length_c 4.273
_cell_angle_alpha 90.00
_cell_angle_beta 90.00
_cell_angle_gamma 90.00
loop_
_atom_site_label
_atom_site_type_symbol
_atom_site_fract_x
_atom_site_fract_y
_atom_site_fract_z
Cr1 Cr 0.000 0.500 0.000
Cd1 Cd 0.000 0.000 0.500
P1 P 0.500 0.500 0.500
Rh1 Rh 0.500 0.500 0.000
```

---

Number 1: calculated total energy -51.3 eV for the cell shown. Number 2: calculated total energy -31.5 eV for the cell shown.